(1)
Material: Ho3Mg7
Method: DFT, PBE
State: optimized geometry Values from VASP.

Geometry as Quantum ESPRESSO input:
```
&SYSTEM
  ibrav = 0, nat = 10, ntyp = 2
/
ATOMIC_SPECIES
Ho 164.93 Ho.upf
Mg 24.30 Mg.upf
CELL_PARAMETERS angstrom
8.176 -2.549 0.000
8.176 2.549 0.000
-2.191 0.000 6.085
ATOMIC_POSITIONS crystal
Ho 0.000 0.000 0.000
Ho 0.206 0.206 0.797
Ho 0.794 0.794 0.203
Mg 0.000 0.000 0.500
Mg 0.199 0.199 0.302
Mg 0.393 0.393 0.618
Mg 0.408 0.408 0.134
Mg 0.592 0.592 0.866
Mg 0.607 0.607 0.382
Mg 0.801 0.801 0.698
```

**Symmetry**: C2/m
**Formation energy**: -0.50 eV/f.u.
**M_tot**: 0.0 μB per formula unit
**Density of states at the Fermi level**: 0.71 states/eV/atom



(2)
Material: HoMg4
Method: DFT, PBE
State: optimized geometry Values from VASP.

Geometry as Quantum ESPRESSO input:
```
&SYSTEM
  ibrav = 0, nat = 5, ntyp = 2
/
ATOMIC_SPECIES
Ho 164.93 Ho.upf
Mg 24.30 Mg.upf
CELL_PARAMETERS angstrom
3.387 0.000 0.000
0.006 5.133 0.000
1.689 2.552 7.152
ATOMIC_POSITIONS crystal
Ho 0.000 0.000 0.000
Mg 0.287 0.788 0.424
Mg 0.400 0.399 0.203
Mg 0.600 0.601 0.797
Mg 0.713 0.212 0.576
```

**Symmetry**: P-1
**Formation energy**: -0.23 eV/f.u.
**Relative energy among the computed polymorphs**: 0 meV/atom
**M_tot**: 0.0 μB per formula unit
**Density of states at the Fermi level**: 0.56 states/eV/atom



(3)
Material: Ho3Mg
Method: DFT, PBE
State: optimized geometry Values from VASP.

Geometry as Quantum ESPRESSO input:
```
&SYSTEM
  ibrav = 0, nat = 4, ntyp = 2
/
ATOMIC_SPECIES
Ho 164.93 Ho.upf
Mg 24.30 Mg.upf
CELL_PARAMETERS angstrom
-1.900 2.711 5.658
1.900 -2.711 5.658
1.900 2.711 -5.658
ATOMIC_POSITIONS crystal
Ho 0.000 0.000 0.000
Ho 0.271 0.771 0.500
Ho 0.729 0.229 0.500
Mg 0.500 0.500 0.000
```

**Symmetry**: Immm
**Formation energy**: -0.06 eV/f.u.
**Relative energy among the computed polymorphs**: 0 meV/atom
**M_tot**: 0.0 μB per formula unit
**Density of states at the Fermi level**: 1.18 states/eV/atom



(4)
Material: Ho2Mg3
Method: DFT, PBE
State: optimized geometry Values from VASP.

Geometry as Quantum ESPRESSO input:
```
&SYSTEM
  ibrav = 0, nat = 5, ntyp = 2
/
ATOMIC_SPECIES
Ho 164.93 Ho.upf
Mg 24.30 Mg.upf
CELL_PARAMETERS angstrom
1.679 0.969 13.760
-1.679 0.969 13.760
0.000 -1.938 13.760
ATOMIC_POSITIONS crystal
Ho 0.201 0.201 0.201
Ho 0.799 0.799 0.799
Mg 0.000 0.000 0.000
Mg 0.397 0.397 0.397
Mg 0.603 0.603 0.603
```

**Symmetry**: R-3m
**Formation energy**: 0.16 eV/f.u.
**Relative energy among the computed polymorphs**: 93 meV/atom
**M_tot**: 0.0 μB per formula unit
**Density of states at the Fermi level**: 0.93 states/eV/atom